Record 1
This record from Alexandria describes an optimized crystal structure of NaSr3Zn. The functional is PBE-GGA.

abc: 6.4820 6.4820 6.4820
angles: 90.00 90.00 90.00
Closest atoms and distances in Å follow each position.
Space group Pm-3m (No. 221)
One atom of each set of equivalent atoms:
Na 0.0000 0.0000 0.0000 (multiplicity 1)  6 Sr 3.24
Sr 0.0000 0.0000 0.5000 (multiplicity 3)  2 Na 3.24
Zn 0.5000 0.5000 0.5000 (multiplicity 1)  12 Sr 4.58

Values from the calculation:
Volume, Å³/cell: 272.3
Crystal system: cubic
Energy, Ha/atom: -0.0377
Offset from the most stable computed form, meV per atom: 565

=====

Record 2
This record from Alexandria describes an optimized crystal structure of ReAs. The functional is PBE-GGA.

abc: 8.7998 3.1219 4.7650
angles: 90.00 109.22 90.00
Closest atoms and distances in Å follow each position.
Space group C2/m (No. 12)
One atom of each set of equivalent atoms:
Re 0.1343 0.0000 0.2936 (multiplicity 4)  5 As 2.50-2.66, 2 Re 2.80
As 0.1109 0.5000 0.8302 (multiplicity 4)  5 Re 2.50-2.66

Values from the calculation:
Volume, Å³/cell: 123.6
Crystal system: monoclinic
Energy, Ha/atom: -0.3059
Offset from the most stable computed form, meV per atom: 150